(1)
The following is a DFT calculation (GGA-PBE) of a relaxed structure of Be2RuW.

Geometry as CIF:
```
data_Be2RuW
_symmetry_space_group_name_H-M 'C 1 2/m 1'
_symmetry_Int_Tables_number 12
_cell_length_a 5.193
_cell_length_b 6.207
_cell_length_c 2.901
_cell_angle_alpha 90.00
_cell_angle_beta 90.22
_cell_angle_gamma 90.00
loop_
_symmetry_equiv_pos_as_xyz
'x,y,z'
'-x,-y,-z'
'-x,y,-z'
'x,-y,z'
'x+1/2,y+1/2,z'
'-x+1/2,-y+1/2,-z'
'-x+1/2,y+1/2,-z'
'x+1/2,-y+1/2,z'
loop_
_atom_site_label
_atom_site_fract_x
_atom_site_fract_y
_atom_site_fract_z
_atom_site_occupancy
Be1 0.250 0.250 0.000 1
Ru1 0.000 0.000 0.500 1
W1 0.000 0.500 0.500 1
```

Output
V in Å³ per cell: 93
Energy of formation from the pure elements in eV/atom: 0.07
Total energy in hartree per atom: -0.2701
ρ in g/cm³: 10.8

***

(2)
The following is a DFT calculation (GGA-PBE) of a relaxed structure of SmY5Bi5.

Geometry as CIF:
```
data_SmY5Bi5
_symmetry_space_group_name_H-M 'C 1 2/m 1'
_symmetry_Int_Tables_number 12
_cell_length_a 13.987
_cell_length_b 6.303
_cell_length_c 8.885
_cell_angle_alpha 90.00
_cell_angle_beta 108.31
_cell_angle_gamma 90.00
loop_
_symmetry_equiv_pos_as_xyz
'x,y,z'
'-x,-y,-z'
'-x,y,-z'
'x,-y,z'
'x+1/2,y+1/2,z'
'-x+1/2,-y+1/2,-z'
'-x+1/2,y+1/2,-z'
'x+1/2,-y+1/2,z'
loop_
_atom_site_label
_atom_site_fract_x
_atom_site_fract_y
_atom_site_fract_z
_atom_site_occupancy
Sm1 0.000 0.000 0.000 1
Y1 0.000 0.000 0.500 1
Y2 0.163 0.500 0.335 1
Y3 0.165 0.500 0.831 1
Bi1 0.000 0.500 0.000 1
Bi2 0.168 0.000 0.338 1
Bi3 0.170 0.000 0.830 1
```

Output
V in Å³ per cell: 744
Energy of formation from the pure elements in eV/atom: -0.71
Total energy in hartree per atom: -0.2148
ρ in g/cm³: 7.3

***

(3)
The following is a DFT calculation (GGA-PBE) of a relaxed structure of HgPW.

Geometry as CIF:
```
data_HgPW
_symmetry_space_group_name_H-M 'F -4 3 m'
_symmetry_Int_Tables_number 216
_symmetry_space_group_name_Hall 'F -4 2 3'
_cell_length_a 6.003
_cell_length_b 6.003
_cell_length_c 6.003
_cell_angle_alpha 90.00
_cell_angle_beta 90.00
_cell_angle_gamma 90.00
loop_
_atom_site_label
_atom_site_fract_x
_atom_site_fract_y
_atom_site_fract_z
_atom_site_occupancy
Hg1 0.000 0.000 0.000 1
P1 0.250 0.250 0.750 1
W1 0.000 0.000 0.500 1
```

Output
V in Å³ per cell: 216
Energy of formation from the pure elements in eV/atom: 0.85
Total energy in hartree per atom: -0.1974
ρ in g/cm³: 12.8

***

(4)
The following is a DFT calculation (GGA-PBE) of a relaxed structure of CeGaOs.

Geometry as CIF:
```
data_CeGaOs
_symmetry_space_group_name_H-M 'F d d 2'
_symmetry_Int_Tables_number 43
_symmetry_space_group_name_Hall 'F 2 -2d'
_cell_length_a 5.774
_cell_length_b 9.531
_cell_length_c 8.741
_cell_angle_alpha 90.00
_cell_angle_beta 90.00
_cell_angle_gamma 90.00
loop_
_atom_site_label
_atom_site_fract_x
_atom_site_fract_y
_atom_site_fract_z
_atom_site_occupancy
Ce1 0.000 0.000 0.000 1
Ga1 0.000 0.000 0.381 1
Os1 0.000 0.000 0.673 1
```

Output
V in Å³ per cell: 481
Energy of formation from the pure elements in eV/atom: 0.05
Total energy in hartree per atom: -0.2454
ρ in g/cm³: 11.0

***

(5)
The following is a DFT calculation (GGA-PBE) of a relaxed structure of ZrW3Au.

Geometry as CIF:
```
data_ZrW3Au
_symmetry_space_group_name_H-M 'P m -3 m'
_symmetry_Int_Tables_number 221
_symmetry_space_group_name_Hall '-P 4 2 3'
_cell_length_a 4.791
_cell_length_b 4.791
_cell_length_c 4.791
_cell_angle_alpha 90.00
_cell_angle_beta 90.00
_cell_angle_gamma 90.00
loop_
_atom_site_label
_atom_site_fract_x
_atom_site_fract_y
_atom_site_fract_z
_atom_site_occupancy
Zr1 0.000 0.000 0.000 1
W1 0.000 0.000 0.500 1
Au1 0.500 0.500 0.500 1
```

Output
V in Å³ per cell: 110
Energy of formation from the pure elements in eV/atom: 2.54
Total energy in hartree per atom: -0.2790
ρ in g/cm³: 12.7

***

(6)
The following is a DFT calculation (GGA-PBE) of a relaxed structure of BeCd3In.

Geometry as CIF:
```
data_BeCd3In
_symmetry_space_group_name_H-M 'P m -3 m'
_symmetry_Int_Tables_number 221
_symmetry_space_group_name_Hall '-P 4 2 3'
_cell_length_a 5.540
_cell_length_b 5.540
_cell_length_c 5.540
_cell_angle_alpha 90.00
_cell_angle_beta 90.00
_cell_angle_gamma 90.00
loop_
_atom_site_label
_atom_site_fract_x
_atom_site_fract_y
_atom_site_fract_z
_atom_site_occupancy
Be1 0.000 0.000 0.000 1
Cd1 0.000 0.500 0.500 1
In1 0.500 0.500 0.500 1
```

Output
V in Å³ per cell: 170
Energy of formation from the pure elements in eV/atom: 0.88
Total energy in hartree per atom: -0.0355
ρ in g/cm³: 4.5

***

(7)
The following is a DFT calculation (GGA-PBE) of a relaxed structure of AcAsPd.

Geometry as CIF:
```
data_AcAsPd
_symmetry_space_group_name_H-M 'I 4 m m'
_symmetry_Int_Tables_number 107
_symmetry_space_group_name_Hall 'I 4 -2'
_cell_length_a 3.736
_cell_length_b 3.736
_cell_length_c 10.449
_cell_angle_alpha 90.00
_cell_angle_beta 90.00
_cell_angle_gamma 90.00
loop_
_atom_site_label
_atom_site_fract_x
_atom_site_fract_y
_atom_site_fract_z
_atom_site_occupancy
Ac1 0.000 0.000 0.000 1
As1 0.000 0.000 0.295 1
Pd1 0.000 0.000 0.694 1
```

Output
V in Å³ per cell: 146
Energy of formation from the pure elements in eV/atom: -0.56
Total energy in hartree per atom: -0.1914
ρ in g/cm³: 9.3

***

(8)
The following is a DFT calculation (GGA-PBE) of a relaxed structure of KSn2Rh.

Geometry as CIF:
```
data_KSn2Rh
_symmetry_space_group_name_H-M 'F m -3 m'
_symmetry_Int_Tables_number 225
_symmetry_space_group_name_Hall '-F 4 2 3'
_cell_length_a 7.060
_cell_length_b 7.060
_cell_length_c 7.060
_cell_angle_alpha 90.00
_cell_angle_beta 90.00
_cell_angle_gamma 90.00
loop_
_atom_site_label
_atom_site_fract_x
_atom_site_fract_y
_atom_site_fract_z
_atom_site_occupancy
K1 0.000 0.000 0.000 1
Sn1 0.250 0.250 0.250 1
Rh1 0.000 0.000 0.500 1
```

Output
V in Å³ per cell: 352
Energy of formation from the pure elements in eV/atom: 0.07
Total energy in hartree per atom: -0.1485
ρ in g/cm³: 7.2

***

(9)
The following is a DFT calculation (GGA-PBE) of a relaxed structure of K3Hg2Pb2.

Geometry as CIF:
```
data_K3Hg2Pb2
_symmetry_space_group_name_H-M 'C 1 2/m 1'
_symmetry_Int_Tables_number 12
_cell_length_a 11.985
_cell_length_b 5.752
_cell_length_c 7.581
_cell_angle_alpha 90.00
_cell_angle_beta 94.77
_cell_angle_gamma 90.00
loop_
_symmetry_equiv_pos_as_xyz
'x,y,z'
'-x,-y,-z'
'-x,y,-z'
'x,-y,z'
'x+1/2,y+1/2,z'
'-x+1/2,-y+1/2,-z'
'-x+1/2,y+1/2,-z'
'x+1/2,-y+1/2,z'
loop_
_atom_site_label
_atom_site_fract_x
_atom_site_fract_y
_atom_site_fract_z
_atom_site_occupancy
K1 0.000 0.000 0.000 1
K2 0.169 0.000 0.588 1
Hg1 0.185 0.500 0.973 1
Pb1 0.021 0.500 0.310 1
```

Output
V in Å³ per cell: 521
Energy of formation from the pure elements in eV/atom: -0.17
Total energy in hartree per atom: -0.0656
ρ in g/cm³: 5.9

***

(10)
The following is a DFT calculation (GGA-PBE) of a relaxed structure of Gd2TiTl.

Geometry as CIF:
```
data_Gd2TiTl
_symmetry_space_group_name_H-M 'P 4/m m m'
_symmetry_Int_Tables_number 123
_symmetry_space_group_name_Hall '-P 4 2'
_cell_length_a 3.409
_cell_length_b 3.409
_cell_length_c 9.039
_cell_angle_alpha 90.00
_cell_angle_beta 90.00
_cell_angle_gamma 90.00
loop_
_atom_site_label
_atom_site_fract_x
_atom_site_fract_y
_atom_site_fract_z
_atom_site_occupancy
Gd1 0.000 0.000 0.238 1
Ti1 0.500 0.500 0.000 1
Tl1 0.500 0.500 0.500 1
```

Output
V in Å³ per cell: 105
Energy of formation from the pure elements in eV/atom: -0.02
Total energy in hartree per atom: -0.3536
ρ in g/cm³: 9.0

***

(11)
The following is a DFT calculation (GGA-PBE) of a relaxed structure of MgSc2CoI.

Geometry as CIF:
```
data_MgSc2CoI
_symmetry_space_group_name_H-M 'P 4/m m m'
_symmetry_Int_Tables_number 123
_symmetry_space_group_name_Hall '-P 4 2'
_cell_length_a 5.368
_cell_length_b 5.368
_cell_length_c 5.400
_cell_angle_alpha 90.00
_cell_angle_beta 90.00
_cell_angle_gamma 90.00
loop_
_atom_site_label
_atom_site_fract_x
_atom_site_fract_y
_atom_site_fract_z
_atom_site_occupancy
Mg1 0.000 0.000 0.000 1
Sc1 0.000 0.500 0.000 1
Co1 0.500 0.500 0.500 1
I1 0.000 0.000 0.500 1
```

Output
V in Å³ per cell: 156
Formation energy without anion corrections in eV/atom: 1.226
Total energy in hartree per atom: -0.1234
ρ in g/cm³: 3.2

***

(12)
The following is a DFT calculation (GGA-PBE) of a relaxed structure of CeY2Ni2.

Geometry as CIF:
```
data_CeY2Ni2
_symmetry_space_group_name_H-M 'I m m m'
_symmetry_Int_Tables_number 71
_symmetry_space_group_name_Hall '-I 2 2'
_cell_length_a 3.765
_cell_length_b 6.219
_cell_length_c 9.516
_cell_angle_alpha 90.00
_cell_angle_beta 90.00
_cell_angle_gamma 90.00
loop_
_atom_site_label
_atom_site_fract_x
_atom_site_fract_y
_atom_site_fract_z
_atom_site_occupancy
Ce1 0.000 0.000 0.000 1
Y1 0.000 0.500 0.193 1
Ni1 0.000 0.207 0.500 1
```

Output
V in Å³ per cell: 223
Energy of formation from the pure elements in eV/atom: -0.32
Total energy in hartree per atom: -0.2355
ρ in g/cm³: 6.5

***

(13)
The following is a DFT calculation (GGA-PBE) of a relaxed structure of AcPaNi2.

Geometry as CIF:
```
data_AcPaNi2
_symmetry_space_group_name_H-M 'P 1 21/m 1'
_symmetry_Int_Tables_number 11
_cell_length_a 5.975
_cell_length_b 4.248
_cell_length_c 7.388
_cell_angle_alpha 90.00
_cell_angle_beta 101.81
_cell_angle_gamma 90.00
loop_
_symmetry_equiv_pos_as_xyz
'x,y,z'
'-x,-y,-z'
'-x,y+1/2,-z'
'x,-y+1/2,z'
loop_
_atom_site_label
_atom_site_fract_x
_atom_site_fract_y
_atom_site_fract_z
_atom_site_occupancy
Ac1 0.215 0.250 0.371 1
Pa1 0.340 0.250 0.923 1
Ni1 0.130 0.750 0.031 1
Ni2 0.302 0.750 0.706 1
```

Output
V in Å³ per cell: 184
Energy of formation from the pure elements in eV/atom: -0.24
Total energy in hartree per atom: -0.2399
ρ in g/cm³: 10.4

***

(14)
The following is a DFT calculation (GGA-PBE) of a relaxed structure of ReIr2Ru5.

Geometry as CIF:
```
data_ReIr2Ru5
_symmetry_space_group_name_H-M 'F m m 2'
_symmetry_Int_Tables_number 42
_symmetry_space_group_name_Hall 'F 2 -2'
_cell_length_a 5.482
_cell_length_b 8.682
_cell_length_c 9.506
_cell_angle_alpha 90.00
_cell_angle_beta 90.00
_cell_angle_gamma 90.00
loop_
_atom_site_label
_atom_site_fract_x
_atom_site_fract_y
_atom_site_fract_z
_atom_site_occupancy
Re1 0.000 0.000 0.000 1
Ir1 0.000 0.248 0.168 1
Ru1 0.000 0.000 0.502 1
Ru2 0.249 0.000 0.750 1
Ru3 0.250 0.250 0.417 1
```

Output
V in Å³ per cell: 452
Energy of formation from the pure elements in eV/atom: -0.08
Total energy in hartree per atom: -0.3545
ρ in g/cm³: 15.8

***

(15)
The following is a DFT calculation (GGA-PBE) of a relaxed structure of V2AsSI.

Geometry as CIF:
```
data_V2AsSI
_symmetry_space_group_name_H-M 'P 4/m m m'
_symmetry_Int_Tables_number 123
_symmetry_space_group_name_Hall '-P 4 2'
_cell_length_a 5.212
_cell_length_b 5.212
_cell_length_c 5.250
_cell_angle_alpha 90.00
_cell_angle_beta 90.00
_cell_angle_gamma 90.00
loop_
_atom_site_label
_atom_site_fract_x
_atom_site_fract_y
_atom_site_fract_z
_atom_site_occupancy
V1 0.000 0.500 0.000 1
As1 0.000 0.000 0.500 1
S1 0.500 0.500 0.500 1
I1 0.000 0.000 0.000 1
```

Output
V in Å³ per cell: 143
Formation energy without anion corrections in eV/atom: 1.552
Total energy in hartree per atom: -0.1529
ρ in g/cm³: 3.9

***

(16)
The following is a DFT calculation (GGA-PBE) of a relaxed structure of KCa2.

Geometry as CIF:
```
data_KCa2
_symmetry_space_group_name_H-M 'I 4/m m m'
_symmetry_Int_Tables_number 139
_symmetry_space_group_name_Hall '-I 4 2'
_cell_length_a 3.926
_cell_length_b 3.926
_cell_length_c 19.158
_cell_angle_alpha 90.00
_cell_angle_beta 90.00
_cell_angle_gamma 90.00
loop_
_atom_site_label
_atom_site_fract_x
_atom_site_fract_y
_atom_site_fract_z
_atom_site_occupancy
K1 0.000 0.000 0.000 1
Ca1 0.000 0.000 0.321 1
```

Output
V in Å³ per cell: 295
Energy of formation from the pure elements in eV/atom: 0.12
Total energy in hartree per atom: -0.0581
ρ in g/cm³: 1.3

***

(17)
The following is a DFT calculation (GGA-PBE) of a relaxed structure of Cd2TeC2.

Geometry as CIF:
```
data_Cd2TeC2
_symmetry_space_group_name_H-M 'P 4/m b m'
_symmetry_Int_Tables_number 127
_symmetry_space_group_name_Hall '-P 4 2ab'
_cell_length_a 7.692
_cell_length_b 7.692
_cell_length_c 3.662
_cell_angle_alpha 90.00
_cell_angle_beta 90.00
_cell_angle_gamma 90.00
loop_
_atom_site_label
_atom_site_fract_x
_atom_site_fract_y
_atom_site_fract_z
_atom_site_occupancy
Cd1 0.159 0.341 0.000 1
Te1 0.000 0.000 0.000 1
C1 0.059 0.559 0.500 1
```

Output
V in Å³ per cell: 217
Formation energy without anion corrections in eV/atom: 0.845
Total energy in hartree per atom: -0.1411
ρ in g/cm³: 5.8

***

(18)
The following is a DFT calculation (GGA-PBE) of a relaxed structure of AcInAu3.

Geometry as CIF:
```
data_AcInAu3
_symmetry_space_group_name_H-M 'C m c m'
_symmetry_Int_Tables_number 63
_symmetry_space_group_name_Hall '-C 2c 2'
_cell_length_a 3.959
_cell_length_b 27.604
_cell_length_c 4.573
_cell_angle_alpha 90.00
_cell_angle_beta 90.00
_cell_angle_gamma 90.00
loop_
_atom_site_label
_atom_site_fract_x
_atom_site_fract_y
_atom_site_fract_z
_atom_site_occupancy
Ac1 0.000 0.080 0.250 1
In1 0.000 0.207 0.750 1
Au1 0.000 0.308 0.750 1
Au2 0.000 0.371 0.250 1
Au3 0.000 0.471 0.250 1
```

Output
V in Å³ per cell: 500
Energy of formation from the pure elements in eV/atom: -0.59
Total energy in hartree per atom: -0.1441
ρ in g/cm³: 12.4

***

(19)
The following is a DFT calculation (GGA-PBE) of a relaxed structure of U2BiSb2.

Geometry as CIF:
```
data_U2BiSb2
_symmetry_space_group_name_H-M 'P 4/m m m'
_symmetry_Int_Tables_number 123
_symmetry_space_group_name_Hall '-P 4 2'
_cell_length_a 3.044
_cell_length_b 3.044
_cell_length_c 16.072
_cell_angle_alpha 90.00
_cell_angle_beta 90.00
_cell_angle_gamma 90.00
loop_
_atom_site_label
_atom_site_fract_x
_atom_site_fract_y
_atom_site_fract_z
_atom_site_occupancy
U1 0.000 0.000 0.201 1
Bi1 0.000 0.000 0.000 1
Sb1 0.000 0.000 0.401 1
```

Output
V in Å³ per cell: 149
Formation energy without anion corrections in eV/atom: 0.647
Total energy in hartree per atom: -0.2313
ρ in g/cm³: 10.4

***

(20)
The following is a DFT calculation (GGA-PBE) of a relaxed structure of YTmCoCu.

Geometry as CIF:
```
data_YTmCoCu
_symmetry_space_group_name_H-M 'F -4 3 m'
_symmetry_Int_Tables_number 216
_symmetry_space_group_name_Hall 'F -4 2 3'
_cell_length_a 6.766
_cell_length_b 6.766
_cell_length_c 6.766
_cell_angle_alpha 90.00
_cell_angle_beta 90.00
_cell_angle_gamma 90.00
loop_
_atom_site_label
_atom_site_fract_x
_atom_site_fract_y
_atom_site_fract_z
_atom_site_occupancy
Y1 0.000 0.000 0.000 1
Tm1 0.000 0.000 0.500 1
Co1 0.250 0.250 0.750 1
Cu1 0.250 0.250 0.250 1
```

Output
V in Å³ per cell: 310
Energy of formation from the pure elements in eV/atom: -0.21
Total energy in hartree per atom: -0.2110
ρ in g/cm³: 8.2